DFT (SCAN) results for a crystal of CoTe2Se relaxed with PBEsol.

abc: 5.1269 9.1000 3.7168
angles: 90.00 90.00 90.00
Space group Cmmm (No. 65)
Unique sites:
Co (0.0000, 0.0000, 0.0000) [2 per cell]
Te (0.0000, 0.1794, 0.5000) [4 per cell]
Se (0.0000, 0.5000, 0.0000) [2 per cell]

Calculated values
* uncorrected energy: -27.90 eV per atom

=====

DFT (SCAN) results for a crystal of Tl2Te relaxed with PBEsol.

abc: 7.6554 7.6554 7.6554
angles: 90.00 90.00 90.00
Space group Fm-3m (No. 225)
Unique sites:
Tl (0.2500, 0.2500, 0.2500) [8 per cell]
Te (0.0000, 0.0000, 0.0000) [4 per cell]

Calculated values
* uncorrected energy: -60.87 eV per atom

=====

DFT (SCAN) results for a crystal of In2Sn3S7 relaxed with PBEsol.

abc: 11.3184 3.7666 12.8529
angles: 90.00 105.70 90.00
Space group P2_1/m (No. 11)
Unique sites:
In (0.0120, 0.2500, 0.1235) [2 per cell]
In (0.0274, 0.7500, 0.3868) [2 per cell]
Sn (0.3170, 0.2500, 0.0042) [2 per cell]
Sn (0.3287, 0.2500, 0.7215) [2 per cell]
Sn (0.3919, 0.2500, 0.3859) [2 per cell]
S (0.1162, 0.2500, 0.8200) [2 per cell]
S (0.1214, 0.7500, 0.5902) [2 per cell]
S (0.1419, 0.7500, 0.0658) [2 per cell]
S (0.1545, 0.2500, 0.3258) [2 per cell]
S (0.3768, 0.7500, 0.5263) [2 per cell]
S (0.4014, 0.7500, 0.8817) [2 per cell]
S (0.4121, 0.7500, 0.2590) [2 per cell]

Calculated values
* uncorrected energy: -20.66 eV per atom

=====

DFT (SCAN) results for a crystal of Zr2CuH2 relaxed with PBEsol.

abc: 3.2059 3.2059 11.8197
angles: 90.00 90.00 90.00
Space group I4/mmm (No. 139)
Unique sites:
Zr (0.0000, 0.0000, 0.1381) [4 per cell]
Cu (0.0000, 0.0000, 0.5000) [2 per cell]
H (0.0000, 0.5000, 0.2500) [4 per cell]

Calculated values
* uncorrected energy: -17.14 eV per atom

=====

DFT (SCAN) results for a crystal of CoPb2Cl relaxed with PBEsol.

abc: 7.0121 7.0121 7.0121
angles: 90.00 90.00 90.00
Space group Fm-3m (No. 225)
Unique sites:
Co (0.0000, 0.0000, 0.0000) [4 per cell]
Pb (0.2500, 0.2500, 0.2500) [8 per cell]
Cl (0.0000, 0.0000, 0.5000) [4 per cell]

Calculated values
* uncorrected energy: -43.93 eV per atom

=====

DFT (SCAN) results for a crystal of Zr3PbAu relaxed with PBEsol.

abc: 5.1083 5.1083 5.1083
angles: 90.00 90.00 90.00
Space group Pm-3m (No. 221)
Unique sites:
Zr (0.0000, 0.0000, 0.5000) [3 per cell]
Pb (0.5000, 0.5000, 0.5000) [1 per cell]
Au (0.0000, 0.0000, 0.0000) [1 per cell]

Calculated values
* E_form: 0.121 eV/atom

=====

| no. | calculated volume (Å³/atom) | mass density (Mg/m³) |
| --- | --- | --- |
| 1 | 21.7 | 7.529 |
| 2 | 37.4 | 7.941 |
| 3 | 22.0 | 5.101 |
| 4 | 12.1 | 6.780 |
| 5 | 21.5 | 9.802 |
| 6 | 26.7 | 8.444 |